[1]
DFT (PBE with a Hubbard U) results for a relaxed ScW3F crystal.

a b c (Å): 5.154 5.154 5.154
angles (deg): 90.00 90.00 90.00
Last column: magnetic moment on the atom in μB.
Fractional coordinates of all 5 atoms:
F (0.500, 0.500, 0.500)  0.00
W (0.000, 0.000, 0.500)  2.54
W (0.000, 0.500, 0.000)  2.65
W (0.500, 0.000, 0.000)  2.89
Sc (0.000, 0.000, 0.000)  -0.36

Output
D(E_F): 0.6070 states/eV/atom
M_tot: 8.2 μB/cell
DFT total energy: -3.6388 eV per atom

[2]
DFT (PBE with a Hubbard U) results for a relaxed ScWF2 crystal.

a b c (Å): 8.607 8.607 8.607
angles (deg): 21.09 21.09 21.09
Last column: magnetic moment on the atom in μB.
Fractional coordinates of all 4 atoms:
F (0.921, 0.921, 0.921)  0.03
F (0.079, 0.079, 0.079)  0.03
Sc (0.000, 0.000, 0.000)  0.01
W (0.500, 0.500, 0.500)  2.90

Output
D(E_F): 0.2581 states/eV/atom
ΔE to the lowest computed polymorph: 216 meV per atom
M_tot: 3.4 μB/cell
DFT total energy: -5.4209 eV per atom

[3]
DFT (PBE with a Hubbard U) results for a relaxed ScWF2 crystal.

a b c (Å): 5.050 5.050 6.213
angles (deg): 66.02 66.02 90.00
Last column: magnetic moment on the atom in μB.
Fractional coordinates of all 8 atoms:
F (0.577, 0.125, 0.250)  -0.01
F (0.375, 0.423, 0.750)  -0.01
F (0.173, 0.625, 0.250)  -0.01
F (0.875, 0.827, 0.750)  -0.01
Sc (0.250, 0.750, 0.500)  -0.34
Sc (0.500, 0.500, 0.000)  -0.33
W (0.750, 0.250, 0.500)  1.63
W (0.000, 0.000, 0.000)  1.63

Output
D(E_F): 0.3727 states/eV/atom
ΔE to the lowest computed polymorph: 330 meV per atom
M_tot: 2.0 μB/cell
DFT total energy: -5.3070 eV per atom

[4]
DFT (PBE with a Hubbard U) results for a relaxed Sc2WF crystal.

a b c (Å): 4.854 4.854 4.854
angles (deg): 60.00 60.00 60.00
Last column: magnetic moment on the atom in μB.
Fractional coordinates of all 4 atoms:
W (0.500, 0.500, 0.500)  3.01
F (0.000, 0.000, 0.000)  0.07
Sc (0.250, 0.250, 0.250)  -0.27
Sc (0.750, 0.750, 0.750)  -0.27

Output
D(E_F): 1.0274 states/eV/atom
ΔE to the lowest computed polymorph: 836 meV per atom
M_tot: 3.0 μB/cell
DFT total energy: -5.3690 eV per atom

[5]
DFT (PBE with a Hubbard U) results for a relaxed ScWF6 crystal.

a b c (Å): 5.716 5.715 5.825
angles (deg): 60.57 60.64 59.95
Last column: magnetic moment on the atom in μB.
Fractional coordinates of all 8 atoms:
F (0.192, 0.318, 0.742)  0.01
F (0.745, 0.190, 0.745)  0.02
F (0.808, 0.682, 0.258)  0.01
F (0.318, 0.742, 0.747)  0.01
F (0.255, 0.810, 0.255)  0.02
F (0.682, 0.258, 0.253)  0.01
W (0.000, 0.000, 0.000)  2.81
Sc (0.500, 0.500, 0.500)  0.02

Output
D(E_F): 0.0000 states/eV/atom
M_tot: 3.0 μB/cell
DFT total energy: -6.3854 eV per atom

[6]
DFT (PBE with a Hubbard U) results for a relaxed Sc2WF crystal.

a b c (Å): 6.663 6.663 5.880
angles (deg): 55.49 55.49 90.00
Last column: magnetic moment on the atom in μB.
Fractional coordinates of all 8 atoms:
F (0.500, 0.500, 0.000)  0.00
F (0.250, 0.750, 0.500)  0.00
Sc (0.224, 0.625, 0.250)  -0.16
Sc (0.375, 0.474, 0.750)  -0.14
Sc (0.875, 0.776, 0.750)  -0.13
Sc (0.526, 0.125, 0.250)  -0.17
W (0.750, 0.250, 0.500)  2.84
W (0.000, 0.000, 0.000)  2.83

Output
D(E_F): 0.2197 states/eV/atom
ΔE to the lowest computed polymorph: 177 meV per atom
M_tot: 6.0 μB/cell
DFT total energy: -6.0278 eV per atom

[7]
DFT (PBE with a Hubbard U) results for a relaxed Sc2W2F crystal.

a b c (Å): 6.361 6.361 4.931
angles (deg): 90.00 90.00 90.00
Last column: magnetic moment on the atom in μB.
Fractional coordinates of all 10 atoms:
W (0.648, 0.148, 0.000)  1.95
W (0.352, 0.852, 0.000)  1.95
W (0.852, 0.648, 0.000)  1.96
W (0.148, 0.352, 0.000)  1.96
Sc (0.344, 0.156, 0.500)  -0.06
Sc (0.656, 0.844, 0.500)  -0.06
Sc (0.156, 0.656, 0.500)  -0.07
Sc (0.844, 0.344, 0.500)  -0.07
F (0.500, 0.500, 0.000)  0.04
F (0.000, 0.000, 0.000)  0.04

Output
D(E_F): 0.8171 states/eV/atom
ΔE to the lowest computed polymorph: 0 meV per atom
M_tot: 8.5 μB/cell
DFT total energy: -5.3575 eV per atom

[8]
DFT (PBE with a Hubbard U) results for a relaxed ScW2F crystal.

a b c (Å): 4.825 4.825 4.825
angles (deg): 60.00 60.00 60.00
Last column: magnetic moment on the atom in μB.
Fractional coordinates of all 4 atoms:
Sc (0.500, 0.500, 0.500)  0.22
W (0.250, 0.250, 0.250)  2.91
W (0.750, 0.750, 0.750)  2.91
F (0.000, 0.000, 0.000)  0.14

Output
D(E_F): 0.9365 states/eV/atom
ΔE to the lowest computed polymorph: 0 meV per atom
M_tot: 7.5 μB/cell
DFT total energy: -4.7105 eV per atom

[9]
DFT (PBE with a Hubbard U) results for a relaxed Sc2WF crystal.

a b c (Å): 8.738 8.738 8.738
angles (deg): 21.44 21.44 21.44
Last column: magnetic moment on the atom in μB.
Fractional coordinates of all 4 atoms:
F (0.000, 0.000, 0.000)  0.00
Sc (0.081, 0.081, 0.081)  -0.05
Sc (0.919, 0.919, 0.919)  -0.05
W (0.500, 0.500, 0.500)  1.09

Output
D(E_F): 0.5084 states/eV/atom
ΔE to the lowest computed polymorph: 0 meV per atom
M_tot: 1.0 μB/cell
DFT total energy: -6.2052 eV per atom

[10]
DFT (PBE with a Hubbard U) results for a relaxed ScW2F crystal.

a b c (Å): 5.574 5.574 7.612
angles (deg): 68.52 68.52 90.00
Last column: magnetic moment on the atom in μB.
Fractional coordinates of all 8 atoms:
Sc (0.000, 0.000, 0.000)  -0.25
Sc (0.750, 0.250, 0.500)  -0.24
F (0.250, 0.750, 0.500)  0.03
F (0.500, 0.500, 0.000)  0.03
W (0.875, 0.728, 0.750)  2.99
W (0.375, 0.522, 0.750)  2.99
W (0.478, 0.125, 0.250)  3.03
W (0.272, 0.625, 0.250)  3.03

Output
D(E_F): 1.0065 states/eV/atom
ΔE to the lowest computed polymorph: 11 meV per atom
M_tot: 12.5 μB/cell
DFT total energy: -4.6994 eV per atom

[11]
DFT (PBE with a Hubbard U) results for a relaxed ScWF2 crystal.

a b c (Å): 7.852 7.852 7.852
angles (deg): 20.83 20.83 20.83
Last column: magnetic moment on the atom in μB.
Fractional coordinates of all 4 atoms:
F (0.099, 0.099, 0.099)  0.00
F (0.901, 0.901, 0.901)  0.00
W (0.000, 0.000, 0.000)  0.14
Sc (0.500, 0.500, 0.500)  0.02

Output
D(E_F): 0.4443 states/eV/atom
ΔE to the lowest computed polymorph: 0 meV per atom
M_tot: 0.2 μB/cell
DFT total energy: -5.6371 eV per atom

[12]
DFT (PBE with a Hubbard U) results for a relaxed Sc2W2F crystal.

a b c (Å): 3.650 3.650 7.655
angles (deg): 76.21 76.21 90.00
Fractional coordinates of all 5 atoms:
W (0.416, 0.416, 0.168)
W (0.584, 0.584, 0.832)
Sc (0.750, 0.250, 0.500)
Sc (0.250, 0.750, 0.500)
F (0.000, 0.000, 0.000)

Output
D(E_F): 0.8956 states/eV/atom
ΔE to the lowest computed polymorph: 1046 meV per atom
M_tot: 0.0 μB/cell
DFT total energy: -4.3110 eV per atom